# 1
First-principles (PBEsol) data for a relaxed structure of MgTa2Sb, as listed in Alexandria.

The space-group type is P4/mmm (123). The formation energy without anion corrections is 0.323 eV/atom. The value obtained for the offset from the most stable computed form is 89 meV per atom. For the total energy, the calculation gives -30.08 eV/cell.

Geometry as POSCAR:
```
MgTa2Sb
1.0
3.559 0.000 0.000
0.000 3.559 0.000
0.000 0.000 5.976
Mg Sb Ta
1 1 2
Direct
0.500 0.500 0.000
0.500 0.500 0.500
0.000 0.000 0.732
0.000 0.000 0.268
```

---

# 2
First-principles (PBEsol) data for a relaxed structure of Mg2TcSb, as listed in Alexandria.

The space-group type is P4mm (99). The formation energy without anion corrections is -0.007 eV/atom. For the total energy, the calculation gives -19.29 eV/cell.

Geometry as POSCAR:
```
Mg2TcSb
1.0
3.417 0.000 0.000
0.000 3.417 0.000
0.000 0.000 6.305
Sb Mg Tc
1 2 1
Direct
0.000 0.000 0.531
0.000 0.000 0.978
0.500 0.500 0.253
0.500 0.500 0.738
```

---

# 3
First-principles (PBEsol) data for a relaxed structure of MgZrSbTe2, as listed in Alexandria.

The space-group type is P4/mmm (123). The formation energy without anion corrections is 0.680 eV/atom. For the total energy, the calculation gives -19.02 eV/cell.

Geometry as POSCAR:
```
MgZrSbTe2
1.0
-2.770 -3.887 -1.885
3.524 -0.739 -3.655
2.661 -3.481 3.269
Sb Mg Te Zr
1 1 2 1
Direct
0.500 0.500 0.500
0.000 0.000 0.000
0.000 0.500 0.000
0.500 0.000 0.000
0.000 0.000 0.500
```

---

# 4
First-principles (PBEsol) data for a relaxed structure of MgTi3Sb, as listed in Alexandria.

The space-group type is Pm-3m (221). The formation energy without anion corrections is 0.727 eV/atom. For the total energy, the calculation gives -27.61 eV/cell.

Geometry as POSCAR:
```
MgTi3Sb
1.0
4.982 0.000 0.000
0.000 4.982 0.000
0.000 0.000 4.982
Sb Mg Ti
1 1 3
Direct
0.000 0.000 0.000
0.500 0.500 0.500
0.000 0.500 0.000
0.000 0.000 0.500
0.500 0.000 0.000
```

---

# 5
First-principles (PBEsol) data for a relaxed structure of Mg2TiSb, as listed in Alexandria.

The space-group type is I-42d (122). The formation energy without anion corrections is 0.207 eV/atom. For the total energy, the calculation gives -30.97 eV/cell.

Geometry as POSCAR:
```
Mg2TiSb
1.0
-1.830 -2.375 4.628
4.374 -2.990 3.480
0.096 3.639 5.190
Sb Mg Ti
2 4 2
Direct
0.000 0.000 0.000
0.750 0.500 0.500
0.875 0.017 0.483
0.375 0.983 0.517
0.642 0.483 0.983
0.108 0.517 0.017
0.500 0.000 0.000
0.250 0.500 0.500
```

---

# 6
First-principles (PBEsol) data for a relaxed structure of MgTlSb2, as listed in Alexandria.

The space-group type is I-4m2 (119). The formation energy without anion corrections is 0.028 eV/atom. The value obtained for the offset from the most stable computed form is 118 meV per atom. For the total energy, the calculation gives -13.35 eV/cell.

Geometry as POSCAR:
```
MgTlSb2
1.0
4.732 0.000 0.000
0.000 4.732 0.000
-2.366 -2.366 4.628
Mg Sb Tl
1 2 1
Direct
0.250 0.750 0.500
0.000 0.000 0.000
0.750 0.250 0.500
0.500 0.500 0.000
```

---

# 7
First-principles (PBEsol) data for a relaxed structure of MgTlSb, as listed in Alexandria.

The space-group type is I4mm (107). The formation energy without anion corrections is -0.049 eV/atom. For the total energy, the calculation gives -9.05 eV/cell.

Geometry as POSCAR:
```
MgTlSb
1.0
3.398 0.000 0.000
0.000 3.398 0.000
-1.699 -1.699 6.594
Mg Sb Tl
1 1 1
Direct
0.005 0.005 0.009
0.650 0.650 0.300
0.345 0.345 0.691
```

---

# 8
First-principles (PBEsol) data for a relaxed structure of MgTl2Sb2, as listed in Alexandria.

The space-group type is P4/mbm (127). The formation energy without anion corrections is -0.058 eV/atom. For the total energy, the calculation gives -32.76 eV/cell.

Geometry as POSCAR:
```
MgTl2Sb2
1.0
-3.617 -2.116 3.227
4.913 0.097 5.570
-2.288 6.806 1.900
Sb Tl Mg
4 4 2
Direct
0.000 0.365 0.865
0.000 0.865 0.635
0.000 0.635 0.135
0.000 0.135 0.365
0.500 0.173 0.673
0.500 0.673 0.827
0.500 0.827 0.327
0.500 0.327 0.173
0.000 0.000 0.000
0.000 0.500 0.500
```

---

# 9
First-principles (PBEsol) data for a relaxed structure of MgTlSb, as listed in Alexandria.

The space-group type is Imm2 (44). The formation energy without anion corrections is -0.052 eV/atom. For the total energy, the calculation gives -9.06 eV/cell.

Geometry as POSCAR:
```
MgTlSb
1.0
3.455 0.000 0.000
0.000 4.165 0.000
-1.727 -2.083 5.351
Mg Sb Tl
1 1 1
Direct
0.015 0.015 0.031
0.650 0.650 0.300
0.335 0.335 0.669
```

---

# 10
First-principles (PBEsol) data for a relaxed structure of MgTlSb, as listed in Alexandria.

The space-group type is F-43m (216). The formation energy without anion corrections is -0.144 eV/atom. For the total energy, the calculation gives -9.34 eV/cell.

Geometry as POSCAR:
```
MgTlSb
1.0
4.914 0.000 0.000
2.457 4.256 0.000
2.457 1.419 4.013
Mg Sb Tl
1 1 1
Direct
0.750 0.750 0.750
0.000 0.000 0.000
0.500 0.500 0.500
```

---

# 11
First-principles (PBEsol) data for a relaxed structure of MgTlSb2, as listed in Alexandria.

The space-group type is Fm-3m (225). The formation energy without anion corrections is 0.033 eV/atom. The value obtained for the offset from the most stable computed form is 124 meV per atom. For the total energy, the calculation gives -13.33 eV/cell.

Geometry as POSCAR:
```
MgTlSb2
1.0
-4.766 0.621 -2.175
-0.777 -1.277 -5.059
-2.906 -4.225 -1.238
Mg Sb Tl
1 2 1
Direct
0.000 0.000 0.000
0.250 0.250 0.250
0.750 0.750 0.750
0.500 0.500 0.500
```

---

# 12
First-principles (PBEsol) data for a relaxed structure of MgTlSb3, as listed in Alexandria.

The space-group type is Pm-3m (221). The formation energy without anion corrections is 0.857 eV/atom. For the total energy, the calculation gives -13.73 eV/cell.

Geometry as POSCAR:
```
MgTlSb3
1.0
5.604 0.000 0.000
0.000 5.604 0.000
0.000 0.000 5.604
Sb Tl Mg
3 1 1
Direct
0.000 0.500 0.000
0.000 0.000 0.500
0.500 0.000 0.000
0.000 0.000 0.000
0.500 0.500 0.500
```

---

# 13
First-principles (PBEsol) data for a relaxed structure of Mg2TlSb2, as listed in Alexandria.

The space-group type is I4/mmm (139). The formation energy without anion corrections is -0.179 eV/atom. For the total energy, the calculation gives -16.07 eV/cell.

Geometry as POSCAR:
```
Mg2TlSb2
1.0
4.715 0.000 0.000
0.000 4.715 0.000
-2.357 -2.357 6.364
Sb Tl Mg
2 1 2
Direct
0.379 0.379 0.759
0.621 0.621 0.241
0.000 0.000 0.000
0.250 0.750 0.500
0.750 0.250 0.500
```

---

# 14
First-principles (PBEsol) data for a relaxed structure of MgTlSb2, as listed in Alexandria.

The space-group type is P4/mmm (123). The formation energy without anion corrections is -0.090 eV/atom. The value obtained for the offset from the most stable computed form is 0 meV per atom. For the total energy, the calculation gives -13.82 eV/cell.

Geometry as POSCAR:
```
MgTlSb2
1.0
3.329 0.000 0.000
0.000 3.329 0.000
0.000 0.000 9.416
Mg Sb Tl
1 2 1
Direct
0.500 0.500 0.500
0.000 0.000 0.718
0.000 0.000 0.282
0.500 0.500 0.000
```

---

# 15
First-principles (PBEsol) data for a relaxed structure of MgTlSb2, as listed in Alexandria.

The space-group type is Immm (71). The formation energy without anion corrections is -0.019 eV/atom. The value obtained for the offset from the most stable computed form is 72 meV per atom. For the total energy, the calculation gives -13.54 eV/cell.

Geometry as POSCAR:
```
MgTlSb2
1.0
-1.935 -3.118 1.525
3.513 -0.430 3.576
-3.486 4.929 0.479
Mg Sb Tl
1 2 1
Direct
0.000 0.500 0.000
0.734 0.734 0.467
0.266 0.266 0.533
0.500 0.000 0.000
```

---

Number 1: mass density 11.142 g/cm³, size of the total moment 0.0 Bohr magnetons per cell. Number 2: mass density 6.054 g/cm³, size of the total moment 0.0 Bohr magnetons per cell. Number 3: mass density 5.682 g/cm³, size of the total moment 0.0 Bohr magnetons per cell. Number 4: mass density 3.889 g/cm³, size of the total moment 0.0 Bohr magnetons per cell. Number 5: mass density 4.034 g/cm³, size of the total moment 0.4 Bohr magnetons per cell. Number 6: mass density 7.568 g/cm³, size of the total moment 0.0 Bohr magnetons per cell. Number 7: mass density 7.643 g/cm³, size of the total moment 0.0 Bohr magnetons per cell. Number 8: mass density 7.701 g/cm³, size of the total moment 0.0 Bohr magnetons per cell. Number 9: mass density 7.557 g/cm³, size of the total moment 0.0 Bohr magnetons per cell. Number 10: mass density 6.934 g/cm³, size of the total moment 0.0 Bohr magnetons per cell. Number 11: mass density 7.553 g/cm³, size of the total moment 0.0 Bohr magnetons per cell. Number 12: mass density 5.604 g/cm³, size of the total moment 0.0 Bohr magnetons per cell. Number 13: mass density 5.829 g/cm³, size of the total moment 0.0 Bohr magnetons per cell. Number 14: mass density 7.513 g/cm³, size of the total moment 0.0 Bohr magnetons per cell. Number 15: mass density 7.633 g/cm³, size of the total moment 0.0 Bohr magnetons per cell.